First-principles (PBE+U) data for crystalline K2PmMnO4 at its relaxed geometry, as listed in the Alexandria database.

Computed properties:
* raw total energy: -6.29 eV/atom
* total moment: 4.00 μB per cell

Cell: 3.5146 5.7278 6.4987 Å, 107.43 90.00 90.00°
Last column: magnetic moment on the atom in μB.
Sites, in units of the cell vectors:
O  0.0000  0.2334  0.8260  -0.05
K  0.5000  0.0000  0.5000  0.00
Mn  0.0000  0.0000  0.0000  4.01
Pm  0.5000  0.5000  0.0000  0.01
O  0.5000  0.2215  0.1944  -0.02
O  0.5000  0.7785  0.8056  -0.02
K  0.0000  0.5000  0.5000  0.00
O  0.0000  0.7666  0.1740  -0.05